LaCrClO2 GGA+U relaxed; total energy = -30.56 eV/cell; space group = P4/mmm, No. 123
1.0
3.898 0.000 0.000
0.000 3.898 0.000
0.000 0.000 5.798
La Cr Cl O
1 1 1 2
direct
0.000 0.000 0.000
0.000 0.000 0.500
0.500 0.500 0.000
0.000 0.500 0.500
0.500 0.000 0.500